Record 1
First-principles (PBE-GGA) data for HfCoSnSe2 after structural relaxation, as listed in Alexandria.

Computed properties:
The calculation puts the density of states at the Fermi level at 1.044 states/eV/atom. The calculation puts the total magnetization at 0.000 μB per atom. For the uncorrected formation energy, the calculation gives 0.297 eV/atom.

Cell lengths 4.643, 4.908, 4.643 Å; angles 90.00, 90.00, 90.00 degrees
Fractional positions:
1 Co 0.000 0.000 0.000
2 Hf 0.500 0.500 0.500
3 Sn 0.000 0.500 0.000
4 Se 0.000 0.000 0.500
5 Se 0.500 0.000 0.000

Record 2
First-principles (PBE-GGA) data for Ce5Pa2 after structural relaxation, as listed in Alexandria.

Computed properties:
The calculation puts the density of states at the Fermi level at 2.605 states/eV/atom. The calculation puts the total magnetization at 0.000 μB per atom. Its formation energy is 0.15 eV/atom.

Cell lengths 3.113, 10.889, 10.889 Å; angles 90.00, 90.00, 90.00 degrees
Fractional positions:
1 Ce 0.000 0.500 0.000
2 Ce 0.000 0.210 0.056
3 Ce 0.000 0.944 0.210
4 Ce 0.000 0.444 0.290
5 Ce 0.000 0.710 0.444
6 Ce 0.000 0.000 0.500
7 Ce 0.000 0.290 0.556
8 Ce 0.000 0.556 0.710
9 Ce 0.000 0.056 0.790
10 Ce 0.000 0.790 0.944
11 Pa 0.500 0.693 0.193
12 Pa 0.500 0.193 0.307
13 Pa 0.500 0.807 0.693
14 Pa 0.500 0.307 0.807

Record 3
First-principles (PBE-GGA) data for Ti3AlRu after structural relaxation, as listed in Alexandria.

Computed properties:
The calculation puts the density of states at the Fermi level at 2.081 states/eV/atom. The calculation puts the total magnetization at 0.000 μB per atom. Its formation energy is 1.07 eV/atom.

Cell lengths 4.579, 4.579, 4.579 Å; angles 90.00, 90.00, 90.00 degrees
Fractional positions:
1 Ru 0.500 0.500 0.500
2 Al 0.000 0.000 0.000
3 Ti 0.000 0.500 0.000
4 Ti 0.000 0.000 0.500
5 Ti 0.500 0.000 0.000

Record 4
First-principles (PBE-GGA) data for LiSe after structural relaxation, as listed in Alexandria.

Computed properties:
The calculation puts the density of states at the Fermi level at 1.134 states/eV/atom. The calculation puts the total magnetization at 0.001 μB per atom. For the uncorrected formation energy, the calculation gives -0.557 eV/atom.

Cell lengths 4.408, 4.408, 5.189 Å; angles 90.00, 90.00, 120.00 degrees
Fractional positions:
1 Li 0.333 0.667 0.250
2 Li 0.667 0.333 0.750
3 Se 0.333 0.667 0.750
4 Se 0.667 0.333 0.250

Record 5
First-principles (PBE-GGA) data for NbAg2Br after structural relaxation, as listed in Alexandria.

Computed properties:
The calculation puts the density of states at the Fermi level at 1.213 states/eV/atom. The calculation puts the total magnetization at 0.458 μB per atom. For the uncorrected formation energy, the calculation gives 0.896 eV/atom.

Cell lengths 4.906, 4.906, 4.906 Å; angles 60.00, 60.00, 60.00 degrees
Each line ends with the local moment (μB).
Fractional positions:
1 Nb 0.500 0.500 0.500  1.51
2 Br 0.000 0.000 0.000  -0.01
3 Ag 0.250 0.250 0.250  0.03
4 Ag 0.750 0.750 0.750  0.03

Record 6
First-principles (PBE-GGA) data for Co3HgRu after structural relaxation, as listed in Alexandria.

Computed properties:
The calculation puts the density of states at the Fermi level at 1.346 states/eV/atom. The calculation puts the total magnetization at 0.935 μB per atom. Its formation energy is 1.36 eV/atom.

Cell lengths 4.490, 4.490, 4.490 Å; angles 90.00, 90.00, 90.00 degrees
Each line ends with the local moment (μB).
Fractional positions:
1 Ru 0.000 0.000 0.000  0.46
2 Co 0.000 0.500 0.000  1.39
3 Co 0.000 0.000 0.500  1.91
4 Co 0.500 0.000 0.000  0.90
5 Hg 0.500 0.500 0.500  0.02

What did the fourth record say?
First-principles (PBE-GGA) data for LiSe after structural relaxation, as listed in Alexandria.

Computed properties:
The calculation puts the density of states at the Fermi level at 1.134 states/eV/atom. The calculation puts the total magnetization at 0.001 μB per atom. For the uncorrected formation energy, the calculation gives -0.557 eV/atom.

Cell lengths 4.408, 4.408, 5.189 Å; angles 90.00, 90.00, 120.00 degrees
Fractional positions:
1 Li 0.333 0.667 0.250
2 Li 0.667 0.333 0.750
3 Se 0.333 0.667 0.750
4 Se 0.667 0.333 0.250

Q: Which formula does entry 6 have?
A: Co3HgRu

Q: Which formula does entry 6 have?
A: Co3HgRu